[1]
Compound: RbCr3Mo
Source: the Alexandria database
Functional: GGA-PBE
Structure: relaxed

Cell and atoms, written as POSCAR:
```
RbCr3Mo
1.0
4.730 0.000 0.000
0.000 4.730 0.000
0.000 0.000 4.730
Rb Cr Mo
1 3 1
Direct
0.000 0.000 0.000 Rb
0.000 0.000 0.500 Cr
0.000 0.500 0.000 Cr
0.500 0.000 0.000 Cr
0.500 0.500 0.500 Mo
```

Computed properties:
The total energy is -5.20 eV per atom. Its volume is 105.8 Å³/cell. Its energy above the most stable polymorph in this dataset is 1532 meV/atom. The calculation puts the density of states at the Fermi level at 2.511 states/eV per cell. For the mass density, the calculation gives 5.293 g/cm³. For the formation energy from the elements, the calculation gives 14.67 eV/f.u.

[2]
Compound: MgCd6Hg6
Source: the Alexandria database
Functional: GGA-PBE
Structure: relaxed

Cell and atoms, written as POSCAR:
```
MgCd6Hg6
1.0
6.244 0.000 0.000
-3.122 5.408 0.000
0.000 0.000 9.551
Mg Cd Hg
1 6 6
Direct
0.000 0.000 0.000 Mg
0.000 0.500 0.248 Cd
0.000 0.500 0.752 Cd
0.500 0.000 0.248 Cd
0.500 0.000 0.752 Cd
0.500 0.500 0.248 Cd
0.500 0.500 0.752 Cd
0.000 0.000 0.337 Hg
0.000 0.000 0.663 Hg
0.333 0.667 0.000 Hg
0.333 0.667 0.500 Hg
0.667 0.333 0.000 Hg
0.667 0.333 0.500 Hg
```

Computed properties:
The total energy is -0.64 eV per atom. Its volume is 322.5 Å³/cell. The calculation puts the density of states at the Fermi level at 2.410 states/eV per cell. For the mass density, the calculation gives 9.795 g/cm³. For the formation energy from the elements, the calculation gives 0.57 eV/f.u.

[3]
Compound: LaAs2Pb
Source: the Alexandria database
Functional: GGA-PBE
Structure: relaxed

Cell and atoms, written as POSCAR:
```
LaAs2Pb
1.0
4.080 0.000 0.000
0.000 4.249 0.000
-1.423 0.000 6.601
La As Pb
1 2 1
Direct
0.000 0.000 0.000 La
0.394 0.500 0.812 As
0.606 0.500 0.188 As
0.500 0.000 0.500 Pb
```

Computed properties:
The total energy is -5.14 eV per atom. Its volume is 114.4 Å³/cell. Its energy above the most stable polymorph in this dataset is 37 meV/atom. The calculation puts the density of states at the Fermi level at 1.860 states/eV per cell. For the mass density, the calculation gives 7.197 g/cm³. For the formation energy from the elements, the calculation gives -2.63 eV/f.u.

[4]
Compound: PrAlAsO2
Source: the Alexandria database
Functional: GGA-PBE
Structure: relaxed

Cell and atoms, written as POSCAR:
```
PrAlAsO2
1.0
2.802 -6.170 0.000
2.802 6.170 0.000
0.000 0.000 5.271
Pr Al As O
2 2 2 4
Direct
0.117 0.883 0.750 Pr
0.883 0.117 0.250 Pr
0.482 0.518 0.250 Al
0.518 0.482 0.750 Al
0.263 0.737 0.250 As
0.737 0.263 0.750 As
0.274 0.274 0.000 O
0.274 0.274 0.500 O
0.726 0.726 0.000 O
0.726 0.726 0.500 O
```

Computed properties:
The calculation puts the uncorrected formation energy at -2.156 eV per atom. The total energy is -6.77 eV per atom. Its volume is 182.3 Å³/cell. The calculation puts the density of states at the Fermi level at 3.244 states/eV per cell. For the mass density, the calculation gives 5.007 g/cm³.